[1]
# CsSnICl2, relaxed, DFT GGA-PBE
data_CsSnICl2
_chemical_formula_sum 'Cs1 Sn1 I1 Cl2'
_cell_length_a 5.644
_cell_length_b 5.644
_cell_length_c 6.299
_cell_angle_alpha 90.00
_cell_angle_beta 90.00
_cell_angle_gamma 90.00
_symmetry_space_group_name_H-M 'P 4/m m m'
_symmetry_Int_Tables_number 123
_symmetry_space_group_name_Hall '-P 4 2'
loop_
_atom_site_label
_atom_site_fract_x
_atom_site_fract_y
_atom_site_fract_z
Cs1 0.000 0.000 0.000
Sn1 0.500 0.500 0.500
I1 0.500 0.500 0.000
Cl1 0.000 0.500 0.500
# * density of states at the Fermi level: 0.00 states/eV/f.u.
# * total moment: 0.0 μB per formula unit
# * VASP energy: -3.28 eV/atom

=====

[2]
# Cs2SnI2Cl4, relaxed, DFT GGA-PBE
data_Cs2SnI2Cl4
_chemical_formula_sum 'Cs4 Sn2 I4 Cl8'
_cell_length_a 8.137
_cell_length_b 8.137
_cell_length_c 10.639
_cell_angle_alpha 90.00
_cell_angle_beta 90.00
_cell_angle_gamma 90.00
_symmetry_space_group_name_H-M 'I 4/m m m'
_symmetry_Int_Tables_number 139
_symmetry_space_group_name_Hall '-I 4 2'
loop_
_atom_site_label
_atom_site_fract_x
_atom_site_fract_y
_atom_site_fract_z
Cs1 0.000 0.500 0.250
Sn1 0.000 0.000 0.000
I1 0.000 0.000 0.268
Cl1 0.218 0.218 0.000
# * total moment: 0.0 μB per formula unit
# * VASP energy: -3.10 eV/atom

=====

The following energy relative to the elements, uncorrected values (in eV/atom) correspond, in order, to the records above: -1.2624; -1.3030.
The following ρ values (in g cm⁻³) correspond, in order, to the records above: 3.7; 3.7.